Material: Pr5Nd6Cd
Method: DFT, GGA-PBE
State: relaxed

- total magnetization (μB/cell) = 0.0
- ΔE_f (kJ/mol of formula units) = -19
- N(E_F) (states/eV/atom) = 1.38

a = 5.171 Å, b = 9.647 Å, c = 9.647 Å
α = 106.63°, β = 105.55°, γ = 105.55°
Element x y z (fractional)
Nd1 0.254 0.754 0.754
Nd2 0.755 0.591 0.919
Nd3 0.755 0.919 0.591
Nd4 0.245 0.409 0.081
Nd5 0.245 0.081 0.409
Nd6 0.746 0.246 0.246
Pr1 0.000 0.335 0.665
Pr2 0.000 0.665 0.335
Pr3 0.500 0.168 0.832
Pr4 0.500 0.500 0.500
Pr5 0.500 0.832 0.168
Cd1 0.000 0.000 0.000

---

Material: InP2Cl
Method: DFT, GGA-PBE
State: relaxed

- total magnetization (μB/cell) = 0.0
- N(E_F) (states/eV/atom) = 0.38
- energy above the most stable polymorph in this dataset (kJ/mol of formula units) = 255
- formation energy (no corrections) (eV/atom) = 0.4102

a = 6.756 Å, b = 6.756 Å, c = 6.756 Å
α = 34.43°, β = 34.43°, γ = 34.43°
Element x y z (fractional)
In1 0.750 0.750 0.750
P1 0.015 0.015 0.015
P2 0.485 0.485 0.485
Cl1 0.250 0.250 0.250

---

Material: Tb2TmMnSe6
Method: DFT, GGA-PBE
State: relaxed

- total magnetization (μB/cell) = 4.0
- N(E_F) (states/eV/atom) = 0.44
- formation energy (no corrections) (eV/atom) = -1.4181

a = 7.034 Å, b = 7.027 Å, c = 7.473 Å
α = 61.88°, β = 61.92°, γ = 60.07°
Last column: magnetic moment on the atom in μB.
Element x y z (fractional)
Se1 0.212 0.953 0.251  -0.02
Se2 0.695 0.105 0.767  -0.02
Se3 0.432 0.695 0.768  -0.03
Se4 0.953 0.583 0.252  -0.02
Se5 0.105 0.433 0.767  -0.02
Se6 0.584 0.212 0.252  -0.02
Tb1 0.519 0.519 0.444  0.04
Tb2 0.017 0.017 0.948  0.02
Mn1 0.324 0.324 0.030  3.80
Tm1 0.821 0.821 0.537  0.06

---

Material: Ga2Te3O9
Method: DFT, GGA-PBE
State: relaxed

- total magnetization (μB/cell) = 0.0
- N(E_F) (states/eV/atom) = 0.00
- formation energy (no corrections) (eV/atom) = -1.3124

a = 9.240 Å, b = 9.240 Å, c = 7.582 Å
α = 90.00°, β = 90.00°, γ = 120.00°
Element x y z (fractional)
Te1 0.511 0.958 0.750
Te2 0.489 0.042 0.250
Te3 0.958 0.447 0.250
Te4 0.042 0.553 0.750
Te5 0.553 0.511 0.250
Te6 0.447 0.489 0.750
O1 0.507 0.166 0.750
O2 0.834 0.341 0.750
O3 0.654 0.145 0.068
O4 0.145 0.491 0.568
O5 0.145 0.491 0.932
O6 0.493 0.834 0.250
O7 0.855 0.509 0.432
O8 0.509 0.654 0.568
O9 0.855 0.509 0.068
O10 0.654 0.145 0.432
O11 0.491 0.346 0.068
O12 0.491 0.346 0.432
O13 0.341 0.507 0.250
O14 0.509 0.654 0.932
O15 0.166 0.659 0.250
O16 0.346 0.855 0.932
O17 0.346 0.855 0.568
O18 0.659 0.493 0.750
Ga1 0.667 0.333 0.562
Ga2 0.667 0.333 0.938
Ga3 0.333 0.667 0.438
Ga4 0.333 0.667 0.062

---

Material: Ba2SrBr2
Method: DFT, GGA-PBE
State: relaxed

- total magnetization (μB/cell) = 1.8
- N(E_F) (states/eV/atom) = 1.03
- energy above the most stable polymorph in this dataset (kJ/mol of formula units) = 37
- formation energy (no corrections) (eV/atom) = -1.0707

a = 9.752 Å, b = 9.752 Å, c = 4.226 Å
α = 90.00°, β = 90.00°, γ = 90.00°
Last column: magnetic moment on the atom in μB.
Element x y z (fractional)
Ba1 0.169 0.669 0.500  0.10
Ba2 0.331 0.169 0.500  0.10
Ba3 0.831 0.331 0.500  0.10
Ba4 0.669 0.831 0.500  0.10
Sr1 0.000 0.000 0.000  0.06
Sr2 0.500 0.500 0.000  0.06
Br1 0.631 0.131 0.000  0.01
Br2 0.869 0.631 0.000  0.01
Br3 0.131 0.369 0.000  0.01
Br4 0.369 0.869 0.000  0.01

---

Material: TlTeN2F
Method: DFT, GGA-PBE
State: relaxed

- total magnetization (μB/cell) = 3.5
- N(E_F) (states/eV/atom) = 0.75
- energy above the most stable polymorph in this dataset (kJ/mol of formula units) = 568
- formation energy (no corrections) (eV/atom) = 1.6421

a = 4.261 Å, b = 4.261 Å, c = 6.540 Å
α = 90.00°, β = 90.00°, γ = 90.00°
Last column: magnetic moment on the atom in μB.
Element x y z (fractional)
Te1 0.000 0.000 0.500  0.16
N1 0.500 0.000 0.000  1.12
N2 0.000 0.500 0.000  1.12
Tl1 0.000 0.000 0.000  0.01
F1 0.500 0.500 0.500  -0.03

---

Material: LiZr2AgIr
Method: DFT, GGA-PBE
State: relaxed

- total magnetization (μB/cell) = 0.0
- ΔE_f (kJ/mol of formula units) = 157
- N(E_F) (states/eV/atom) = 0.81

a = 4.987 Å, b = 5.260 Å, c = 4.987 Å
α = 90.00°, β = 90.00°, γ = 90.00°
Element x y z (fractional)
Ir1 0.000 0.000 0.000
Li1 0.500 0.500 0.500
Zr1 0.500 0.000 0.000
Zr2 0.000 0.000 0.500
Ag1 0.000 0.500 0.000

---

Material: Tm2GaRuC
Method: DFT, GGA-PBE
State: relaxed

- total magnetization (μB/cell) = 0.0
- ΔE_f (kJ/mol of formula units) = -231
- N(E_F) (states/eV/atom) = 0.51

a = 3.905 Å, b = 4.847 Å, c = 4.847 Å
α = 90.00°, β = 90.00°, γ = 90.00°
Element x y z (fractional)
Ru1 0.500 0.000 0.000
C1 0.000 0.000 0.000
Tm1 0.000 0.000 0.500
Tm2 0.000 0.500 0.000
Ga1 0.500 0.500 0.500

---

Material: CaAcCd6
Method: DFT, GGA-PBE
State: relaxed

- total magnetization (μB/cell) = 0.0
- ΔE_f (kJ/mol of formula units) = -197
- N(E_F) (states/eV/atom) = 0.60
- energy above the most stable polymorph in this dataset (kJ/mol of formula units) = 9

a = 5.057 Å, b = 6.865 Å, c = 6.865 Å
α = 114.94°, β = 90.00°, γ = 90.00°
Element x y z (fractional)
Cd1 0.000 0.630 0.957
Cd2 0.000 0.588 0.412
Cd3 0.500 0.873 0.552
Cd4 0.500 0.448 0.127
Cd5 0.000 0.043 0.370
Cd6 0.500 0.920 0.080
Ca1 0.000 0.105 0.895
Ac1 0.500 0.392 0.608

---

Material: PrZnRhN
Method: DFT, GGA-PBE
State: relaxed

- total magnetization (μB/cell) = 0.0
- N(E_F) (states/eV/atom) = 0.55
- formation energy (no corrections) (eV/atom) = -0.6307

a = 3.795 Å, b = 3.795 Å, c = 9.444 Å
α = 90.00°, β = 90.00°, γ = 90.00°
Element x y z (fractional)
Rh1 0.500 0.500 0.500
Rh2 0.000 0.000 0.500
N1 0.000 0.500 0.114
N2 0.500 0.000 0.886
Zn1 0.000 0.500 0.322
Zn2 0.500 0.000 0.678
Pr1 0.000 0.500 0.863
Pr2 0.500 0.000 0.137

---

Material: La3Mg
Method: DFT, GGA-PBE
State: relaxed

- total magnetization (μB/cell) = 0.0
- ΔE_f (kJ/mol of formula units) = 19
- N(E_F) (states/eV/atom) = 1.77

a = 5.772 Å, b = 5.772 Å, c = 5.772 Å
α = 60.00°, β = 60.00°, γ = 60.00°
Element x y z (fractional)
La1 0.500 0.500 0.500
La2 0.250 0.250 0.250
La3 0.000 0.000 0.000
Mg1 0.750 0.750 0.750

---

Material: La2FeSb
Method: DFT, GGA-PBE
State: relaxed

- total magnetization (μB/cell) = 1.2
- N(E_F) (states/eV/atom) = 1.21
- formation energy (no corrections) (eV/atom) = -0.4423

a = 4.419 Å, b = 4.382 Å, c = 6.265 Å
α = 69.50°, β = 90.00°, γ = 90.00°
Last column: magnetic moment on the atom in μB.
Element x y z (fractional)
Sb1 0.000 0.694 0.487  -0.02
La1 0.500 0.272 0.332  0.21
La2 0.000 0.987 0.902  0.28
Fe1 0.500 0.547 0.779  -2.41

---

Question: The highest total magnetization belongs to which entry?
Answer: Tb2TmMnSe6

---

Copy entry 5 word for word.
Material: Ba2SrBr2
Method: DFT, GGA-PBE
State: relaxed

- total magnetization (μB/cell) = 1.8
- N(E_F) (states/eV/atom) = 1.03
- energy above the most stable polymorph in this dataset (kJ/mol of formula units) = 37
- formation energy (no corrections) (eV/atom) = -1.0707

a = 9.752 Å, b = 9.752 Å, c = 4.226 Å
α = 90.00°, β = 90.00°, γ = 90.00°
Last column: magnetic moment on the atom in μB.
Element x y z (fractional)
Ba1 0.169 0.669 0.500  0.10
Ba2 0.331 0.169 0.500  0.10
Ba3 0.831 0.331 0.500  0.10
Ba4 0.669 0.831 0.500  0.10
Sr1 0.000 0.000 0.000  0.06
Sr2 0.500 0.500 0.000  0.06
Br1 0.631 0.131 0.000  0.01
Br2 0.869 0.631 0.000  0.01
Br3 0.131 0.369 0.000  0.01
Br4 0.369 0.869 0.000  0.01

---

Repeat the seventh record exactly.
Material: LiZr2AgIr
Method: DFT, GGA-PBE
State: relaxed

- total magnetization (μB/cell) = 0.0
- ΔE_f (kJ/mol of formula units) = 157
- N(E_F) (states/eV/atom) = 0.81

a = 4.987 Å, b = 5.260 Å, c = 4.987 Å
α = 90.00°, β = 90.00°, γ = 90.00°
Element x y z (fractional)
Ir1 0.000 0.000 0.000
Li1 0.500 0.500 0.500
Zr1 0.500 0.000 0.000
Zr2 0.000 0.000 0.500
Ag1 0.000 0.500 0.000